Compound: Al2Ga2Tc
Source: Alexandria
Functional: GGA-PBE
Structure: optimized geometry

Lattice parameters (Å, degrees): 6.6806 6.6806 3.5404 90.00 90.00 90.00
Last column: nearest neighbours and their distance in Å.
Fractional coordinates of all 10 atoms:
Tc1 0.0000 0.0000 0.0000  4 Ga 2.60
Tc2 0.5000 0.5000 0.0000  4 Ga 2.60
Ga1 0.3652 0.8652 0.0000  1 Ga 2.55, 6 Al 2.56-2.70, 2 Tc 2.60
Ga2 0.8652 0.6348 0.0000  1 Ga 2.55, 6 Al 2.56-2.70, 2 Tc 2.60
Ga3 0.6348 0.1348 0.0000  1 Ga 2.55, 6 Al 2.56-2.70, 2 Tc 2.60
Ga4 0.1348 0.3652 0.0000  1 Ga 2.55, 6 Al 2.56-2.70, 2 Tc 2.60
Al1 0.1694 0.6694 0.5000  6 Ga 2.56-2.70
Al2 0.6694 0.8306 0.5000  6 Ga 2.56-2.70
Al3 0.8306 0.3306 0.5000  6 Ga 2.56-2.70
Al4 0.3306 0.1694 0.5000  6 Ga 2.56-2.70

symmetry	P4/mbm (127)
N(E_F)	3.15	states/eV/f.u.
mass density	6.1	g/cm³
ΔH_f (0 K)	36	kJ/mol of formula units
ΔE to the lowest computed polymorph	242.5	meV/atom

Compound: AlGa3Tc
Source: Alexandria
Functional: GGA-PBE
Structure: optimized geometry

Lattice parameters (Å, degrees): 5.1771 6.5074 6.5073 120.02 89.98 90.01
Last column: nearest neighbours and their distance in Å.
Fractional coordinates of all 10 atoms:
Al1 0.7498 0.6668 0.3335  12 Ga 3.01-3.27
Al2 0.2502 0.3332 0.6666  12 Ga 3.01-3.27
Ga1 0.7500 0.6077 0.8039  2 Tc 2.56, 2 Ga 2.68
Ga2 0.2500 0.8038 0.6077  2 Tc 2.56, 2 Ga 2.68
Ga3 0.2500 0.3923 0.1961  2 Tc 2.56, 2 Ga 2.68
Ga4 0.7500 0.1962 0.3923  2 Tc 2.56, 2 Ga 2.68
Ga5 0.2499 0.8039 0.1960  2 Tc 2.56, 2 Ga 2.68
Ga6 0.7501 0.1961 0.8040  2 Tc 2.56, 2 Ga 2.68
Tc1 0.0000 0.0000 0.0000  6 Ga 2.56, 2 Tc 2.59
Tc2 0.5000 0.0000 0.0000  6 Ga 2.56, 2 Tc 2.59

symmetry	P6_3/mmc (194)
N(E_F)	3.04	states/eV/f.u.
mass density	5.8	g/cm³
ΔH_f (0 K)	112	kJ/mol of formula units
ΔE to the lowest computed polymorph	0.0	meV/atom

Compound: AlGaTc3
Source: Alexandria
Functional: GGA-PBE
Structure: optimized geometry

Lattice parameters (Å, degrees): 4.4468 4.4468 4.4468 90.00 90.00 90.00
Last column: nearest neighbours and their distance in Å.
Fractional coordinates of all 5 atoms:
Tc1 0.0000 0.5000 0.0000  2 Al 2.22
Tc2 0.0000 0.0000 0.5000  2 Al 2.22
Tc3 0.5000 0.0000 0.0000  2 Al 2.22
Ga1 0.5000 0.5000 0.5000  12 Tc 3.14
Al1 0.0000 0.0000 0.0000  6 Tc 2.22

symmetry	Pm-3m (221)
N(E_F)	9.38	states/eV/f.u.
mass density	7.4	g/cm³
ΔH_f (0 K)	609	kJ/mol of formula units
ΔE to the lowest computed polymorph	0.0	meV/atom

Compound: AlGa3Tc
Source: Alexandria
Functional: GGA-PBE
Structure: optimized geometry

Lattice parameters (Å, degrees): 4.8443 4.8443 4.8443 90.00 90.00 90.00
Last column: nearest neighbours and their distance in Å.
Fractional coordinates of all 5 atoms:
Tc1 0.0000 0.0000 0.0000  6 Ga 2.42
Ga1 0.0000 0.5000 0.0000  2 Tc 2.42
Ga2 0.0000 0.0000 0.5000  2 Tc 2.42
Ga3 0.5000 0.0000 0.0000  2 Tc 2.42
Al1 0.5000 0.5000 0.5000  12 Ga 3.43

symmetry	Pm-3m (221)
N(E_F)	2.65	states/eV/f.u.
mass density	4.9	g/cm³
ΔH_f (0 K)	130	kJ/mol of formula units
ΔE to the lowest computed polymorph	38.2	meV/atom

Compound: Al6GaTc2
Source: Alexandria
Functional: GGA-PBE
Structure: optimized geometry

Lattice parameters (Å, degrees): 3.8648 6.1725 6.3934 110.28 107.45 90.03
Last column: nearest neighbours and their distance in Å.
Fractional coordinates of all 9 atoms:
Al1 0.3977 0.8495 0.7958  4 Al 2.51-2.79, 3 Tc 2.80-2.81
Al2 0.6023 0.1505 0.2042  4 Al 2.51-2.79, 3 Tc 2.80-2.81
Al3 0.7249 0.8461 0.4493  8 Al 2.62-2.86, 3 Tc 2.77-2.79, 1 Ga 2.80
Al4 0.1707 0.5012 0.3423  2 Tc 2.70-2.71, 8 Al 2.73-2.86, 2 Ga 2.84
Al5 0.2751 0.1539 0.5507  8 Al 2.62-2.86, 3 Tc 2.77-2.79, 1 Ga 2.80
Al6 0.8293 0.4988 0.6577  2 Tc 2.70-2.71, 8 Al 2.73-2.86, 2 Ga 2.84
Ga1 0.5000 0.5000 0.0000  4 Tc 2.59, 8 Al 2.80-2.86
Tc1 0.9466 0.2001 0.8916  2 Ga 2.59, 9 Al 2.70-2.81
Tc2 0.0534 0.7999 0.1084  2 Ga 2.59, 9 Al 2.70-2.81

symmetry	P-1 (2)
N(E_F)	3.68	states/eV/f.u.
mass density	5.2	g/cm³
ΔH_f (0 K)	-194	kJ/mol of formula units

Compound: Al6Ga12Tc
Source: Alexandria
Functional: GGA-PBE
Structure: optimized geometry

Lattice parameters (Å, degrees): 7.0744 7.0744 7.0744 82.10 82.10 82.10
Last column: nearest neighbours and their distance in Å.
Fractional coordinates of all 19 atoms:
Al1 0.8351 0.7968 0.3260  4 Ga 2.70-2.84, 1 Tc 2.75, 2 Al 2.77
Al2 0.6740 0.1649 0.2032  4 Ga 2.70-2.84, 1 Tc 2.75, 2 Al 2.77
Al3 0.2032 0.6740 0.1649  4 Ga 2.70-2.84, 1 Tc 2.75, 2 Al 2.77
Al4 0.1649 0.2032 0.6740  4 Ga 2.70-2.84, 1 Tc 2.75, 2 Al 2.77
Al5 0.3260 0.8351 0.7968  4 Ga 2.70-2.84, 1 Tc 2.75, 2 Al 2.77
Al6 0.7968 0.3260 0.8351  4 Ga 2.70-2.84, 1 Tc 2.75, 2 Al 2.77
Ga1 0.8483 0.4134 0.4498  4 Ga 2.66-2.97, 2 Al 2.70-2.73
Ga2 0.4498 0.8483 0.4134  4 Ga 2.66-2.97, 2 Al 2.70-2.73
Ga3 0.4134 0.4498 0.8483  4 Ga 2.66-2.97, 2 Al 2.70-2.73
Ga4 0.1517 0.5866 0.5502  4 Ga 2.66-2.97, 2 Al 2.70-2.73
Ga5 0.5502 0.1517 0.5866  4 Ga 2.66-2.97, 2 Al 2.70-2.73
Ga6 0.5866 0.5502 0.1517  4 Ga 2.66-2.97, 2 Al 2.70-2.73
Ga7 0.1114 0.0448 0.3512  4 Ga 2.51-2.66, 1 Al 2.77, 1 Tc 2.78
Ga8 0.9552 0.6488 0.8886  4 Ga 2.51-2.66, 1 Al 2.77, 1 Tc 2.78
Ga9 0.6488 0.8886 0.9552  4 Ga 2.51-2.66, 1 Al 2.77, 1 Tc 2.78
Ga10 0.8886 0.9552 0.6488  4 Ga 2.51-2.66, 1 Al 2.77, 1 Tc 2.78
Ga11 0.0448 0.3512 0.1114  4 Ga 2.51-2.66, 1 Al 2.77, 1 Tc 2.78
Ga12 0.3512 0.1114 0.0448  4 Ga 2.51-2.66, 1 Al 2.77, 1 Tc 2.78
Tc1 0.0000 0.0000 0.0000  6 Al 2.75, 6 Ga 2.78

symmetry	R-3 (148)
N(E_F)	5.31	states/eV/f.u.
mass density	5.3	g/cm³
ΔH_f (0 K)	-2	kJ/mol of formula units
ΔE to the lowest computed polymorph	0.0	meV/atom